[1]
Computed, not measured: crystalline Ba4H5O at its relaxed geometry at the GGA-PBE level of DFT.

- Electronic total energy: -3.7662 eV/atom
- Space group: C2/m, No. 12

Geometry as CIF:
```
data_Ba4H5O
_space_group_name_H-M_alt 'P 1'
_space_group_IT_number 1
_cell_length_a 4.314
_cell_length_b 6.844
_cell_length_c 10.164
_cell_angle_alpha 126.02
_cell_angle_beta 102.25
_cell_angle_gamma 90.00
loop_
_space_group_symop_operation_xyz
'x,y,z'
loop_
_atom_site_label
_atom_site_type_symbol
_atom_site_fract_x
_atom_site_fract_y
_atom_site_fract_z
_atom_site_occupancy
Ba1 Ba 0.349 0.513 0.698 1
Ba2 Ba 0.059 0.852 0.118 1
Ba3 Ba 0.651 0.487 0.302 1
Ba4 Ba 0.941 0.148 0.882 1
H1 H 0.904 0.452 0.807 1
H2 H 0.816 0.682 0.632 1
H3 H 0.184 0.318 0.368 1
H4 H 0.500 0.500 0.000 1
H5 H 0.096 0.548 0.193 1
O1 O 0.500 0.000 0.000 1
```

***

[2]
Computed, not measured: crystalline Cd2Hg6Pb3 at its relaxed geometry at the GGA-PBE level of DFT.

- Formation enthalpy at 0 K: 0.04 eV per atom
- Space group: R-3m, No. 166

Geometry as CIF:
```
data_Cd2Hg6Pb3
_space_group_name_H-M_alt 'P 1'
_space_group_IT_number 1
_cell_length_a 3.429
_cell_length_b 3.429
_cell_length_c 29.238
_cell_angle_alpha 86.64
_cell_angle_beta 86.64
_cell_angle_gamma 60.00
loop_
_space_group_symop_operation_xyz
'x,y,z'
loop_
_atom_site_label
_atom_site_type_symbol
_atom_site_fract_x
_atom_site_fract_y
_atom_site_fract_z
_atom_site_occupancy
Cd1 Cd 0.542 0.542 0.374 1
Cd2 Cd 0.458 0.458 0.626 1
Hg1 Hg 0.903 0.903 0.290 1
Hg2 Hg 0.097 0.097 0.710 1
Hg3 Hg 0.819 0.819 0.543 1
Hg4 Hg 0.181 0.181 0.457 1
Hg5 Hg 0.634 0.634 0.098 1
Hg6 Hg 0.366 0.366 0.902 1
Pb1 Pb 0.000 0.000 0.000 1
Pb2 Pb 0.732 0.732 0.805 1
Pb3 Pb 0.268 0.268 0.195 1
```

***

[3]
Computed, not measured: crystalline KBa2Sr at its relaxed geometry at the GGA-PBE level of DFT.

- Formation enthalpy at 0 K: 0.11 eV per atom
- Space group: F-43m, No. 216

Geometry as CIF:
```
data_KBa2Sr
_space_group_name_H-M_alt 'P 1'
_space_group_IT_number 1
_cell_length_a 7.102
_cell_length_b 7.102
_cell_length_c 7.102
_cell_angle_alpha 60.00
_cell_angle_beta 60.00
_cell_angle_gamma 60.00
loop_
_space_group_symop_operation_xyz
'x,y,z'
loop_
_atom_site_label
_atom_site_type_symbol
_atom_site_fract_x
_atom_site_fract_y
_atom_site_fract_z
_atom_site_occupancy
Ba1 Ba 0.000 0.000 0.000 1
Ba2 Ba 0.250 0.250 0.250 1
K1 K 0.500 0.500 0.500 1
Sr1 Sr 0.750 0.750 0.750 1
```

***

[4]
Computed, not measured: crystalline MnPRh2 at its relaxed geometry at the GGA-PBE level of DFT.

- Formation enthalpy at 0 K: -0.14 eV per atom
- Space group: R3m, No. 160

Geometry as CIF:
```
data_MnPRh2
_space_group_name_H-M_alt 'P 1'
_space_group_IT_number 1
_cell_length_a 8.015
_cell_length_b 8.015
_cell_length_c 8.015
_cell_angle_alpha 19.74
_cell_angle_beta 19.74
_cell_angle_gamma 19.74
loop_
_space_group_symop_operation_xyz
'x,y,z'
loop_
_atom_site_label
_atom_site_type_symbol
_atom_site_fract_x
_atom_site_fract_y
_atom_site_fract_z
_atom_site_occupancy
Mn1 Mn 0.508 0.508 0.508 1
P1 P 0.246 0.246 0.246 1
Rh1 Rh 0.989 0.989 0.989 1
Rh2 Rh 0.756 0.756 0.756 1
```

***

Looking at density of states at the Fermi level for the records above, in order, we have 1.40, 4.58, 5.93, 2.83 states/eV/f.u..